# 1
A plane-wave DFT calculation with PBE-GGA was carried out for HfPbS2 after structural relaxation.

Results
For the formation energy (no corrections), the calculation gives -0.986 eV/atom.

Cell: 3.354 30.014 3.728 Å, 90.00 90.00 90.00°
Sites, in units of the cell vectors:
Hf  0.000  0.190  0.250
Hf  0.000  0.810  0.750
Hf  0.500  0.310  0.750
Hf  0.500  0.690  0.250
Pb  0.000  0.448  0.250
Pb  0.000  0.552  0.750
Pb  0.500  0.052  0.750
Pb  0.500  0.948  0.250
S  0.000  0.282  0.250
S  0.000  0.372  0.750
S  0.000  0.628  0.250
S  0.000  0.718  0.750
S  0.500  0.128  0.250
S  0.500  0.218  0.750
S  0.500  0.782  0.250
S  0.500  0.872  0.750

---

# 2
A plane-wave DFT calculation with PBE-GGA was carried out for HfPbS2 after structural relaxation.

Results
For the formation energy (no corrections), the calculation gives -0.801 eV/atom.

Cell: 9.090 8.342 6.564 Å, 90.00 116.22 90.00°
Sites, in units of the cell vectors:
Hf  0.000  0.047  0.250
Hf  0.000  0.953  0.750
Hf  0.500  0.453  0.750
Hf  0.500  0.547  0.250
Pb  0.000  0.438  0.250
Pb  0.000  0.562  0.750
Pb  0.500  0.062  0.750
Pb  0.500  0.938  0.250
S  0.156  0.144  0.645
S  0.156  0.856  0.145
S  0.344  0.356  0.355
S  0.344  0.644  0.855
S  0.656  0.356  0.145
S  0.656  0.644  0.645
S  0.844  0.144  0.855
S  0.844  0.856  0.355

---

# 3
A plane-wave DFT calculation with PBE-GGA was carried out for HfPb3S after structural relaxation.

Results
The value obtained for the excess energy over the best structure of this formula in the dataset is 0 meV/atom. For the formation energy (no corrections), the calculation gives 0.631 eV/atom.

Cell: 5.375 5.375 5.375 Å, 90.00 90.00 90.00°
Sites, in units of the cell vectors:
Hf  0.000  0.000  0.000
Pb  0.000  0.500  0.500
Pb  0.500  0.000  0.500
Pb  0.500  0.500  0.000
S  0.500  0.500  0.500

---

# 4
A plane-wave DFT calculation with PBE-GGA was carried out for Hf3Pb2S8 after structural relaxation.

Results
For the formation energy (no corrections), the calculation gives -1.241 eV/atom.

Cell: 8.052 8.052 6.514 Å, 105.82 105.82 55.51°
Sites, in units of the cell vectors:
Hf  0.000  0.000  0.000
Hf  0.261  0.739  0.500
Hf  0.739  0.261  0.500
Pb  0.267  0.267  0.839
Pb  0.733  0.733  0.161
S  0.102  0.102  0.397
S  0.127  0.660  0.105
S  0.340  0.873  0.895
S  0.388  0.388  0.549
S  0.612  0.612  0.451
S  0.660  0.127  0.105
S  0.873  0.340  0.895
S  0.898  0.898  0.603

---

# 5
A plane-wave DFT calculation with PBE-GGA was carried out for HfPbS2 after structural relaxation.

Results
For the formation energy (no corrections), the calculation gives -0.679 eV/atom.

Cell: 3.703 3.703 9.020 Å, 90.00 90.00 120.00°
Sites, in units of the cell vectors:
Hf  0.000  0.000  0.000
Pb  0.667  0.333  0.477
S  0.000  0.000  0.263
S  0.333  0.667  0.858

---

# 6
A plane-wave DFT calculation with PBE-GGA was carried out for HfPbS2 after structural relaxation.

Results
For the formation energy (no corrections), the calculation gives -0.526 eV/atom.

Cell: 5.504 5.504 11.897 Å, 90.00 90.00 90.00°
Sites, in units of the cell vectors:
Hf  0.000  0.250  0.375
Hf  0.000  0.750  0.625
Hf  0.500  0.250  0.125
Hf  0.500  0.750  0.875
Pb  0.000  0.250  0.875
Pb  0.000  0.750  0.125
Pb  0.500  0.250  0.625
Pb  0.500  0.750  0.375
S  0.000  0.250  0.158
S  0.000  0.250  0.592
S  0.000  0.750  0.408
S  0.000  0.750  0.842
S  0.500  0.250  0.342
S  0.500  0.250  0.908
S  0.500  0.750  0.092
S  0.500  0.750  0.658

---

# 7
A plane-wave DFT calculation with PBE-GGA was carried out for HfPbS3 after structural relaxation.

Results
The value obtained for the excess energy over the best structure of this formula in the dataset is 0 meV/atom. For the formation energy (no corrections), the calculation gives -1.160 eV/atom.

Cell: 9.258 3.773 14.148 Å, 90.00 90.00 90.00°
Sites, in units of the cell vectors:
Hf  0.163  0.250  0.049
Hf  0.337  0.750  0.549
Hf  0.663  0.250  0.451
Hf  0.837  0.750  0.951
Pb  0.030  0.250  0.672
Pb  0.470  0.750  0.172
Pb  0.530  0.250  0.828
Pb  0.970  0.750  0.328
S  0.010  0.250  0.896
S  0.175  0.250  0.490
S  0.235  0.750  0.712
S  0.265  0.250  0.212
S  0.325  0.750  0.990
S  0.490  0.750  0.396
S  0.510  0.250  0.604
S  0.675  0.250  0.010
S  0.735  0.750  0.788
S  0.765  0.250  0.288
S  0.825  0.750  0.510
S  0.990  0.750  0.104

---

# 8
A plane-wave DFT calculation with PBE-GGA was carried out for HfPbS2 after structural relaxation.

Results
For the formation energy (no corrections), the calculation gives -1.102 eV/atom.

Cell: 3.543 3.543 8.957 Å, 90.00 90.00 120.00°
Sites, in units of the cell vectors:
Hf  0.000  0.000  0.000
Pb  0.333  0.667  0.500
S  0.333  0.667  0.174
S  0.333  0.667  0.826

---

# 9
A plane-wave DFT calculation with PBE-GGA was carried out for HfPbS2 after structural relaxation.

Results
For the formation energy (no corrections), the calculation gives -0.887 eV/atom.

Cell: 4.974 10.127 8.021 Å, 90.00 90.00 90.00°
Sites, in units of the cell vectors:
Hf  0.060  0.093  0.000
Hf  0.440  0.593  0.500
Hf  0.560  0.407  0.000
Hf  0.940  0.907  0.500
Pb  0.058  0.346  0.402
Pb  0.442  0.846  0.902
Pb  0.558  0.154  0.402
Pb  0.942  0.654  0.902
S  0.005  0.091  0.702
S  0.058  0.345  0.047
S  0.442  0.845  0.547
S  0.495  0.591  0.202
S  0.505  0.409  0.702
S  0.558  0.155  0.047
S  0.942  0.655  0.547
S  0.995  0.909  0.202

---

# 10
A plane-wave DFT calculation with PBE-GGA was carried out for HfPbS2 after structural relaxation.

Results
For the formation energy (no corrections), the calculation gives -0.766 eV/atom.

Cell: 6.838 8.748 6.800 Å, 90.00 90.00 90.00°
Sites, in units of the cell vectors:
Hf  0.017  0.164  0.000
Hf  0.483  0.664  0.500
Hf  0.517  0.336  0.000
Hf  0.983  0.836  0.500
Pb  0.091  0.559  0.152
Pb  0.409  0.059  0.652
Pb  0.591  0.941  0.152
Pb  0.909  0.441  0.652
S  0.006  0.906  0.142
S  0.218  0.731  0.730
S  0.282  0.231  0.230
S  0.494  0.406  0.642
S  0.506  0.594  0.142
S  0.718  0.769  0.730
S  0.782  0.269  0.230
S  0.994  0.094  0.642

---

# 11
A plane-wave DFT calculation with PBE-GGA was carried out for HfPbS2 after structural relaxation.

Results
For the formation energy (no corrections), the calculation gives -1.097 eV/atom.

Cell: 6.184 3.554 8.691 Å, 90.00 99.61 90.00°
Sites, in units of the cell vectors:
Hf  0.000  0.000  0.000
Hf  0.500  0.500  0.000
Pb  0.000  0.000  0.500
Pb  0.500  0.500  0.500
S  0.126  0.500  0.822
S  0.374  0.000  0.178
S  0.626  0.000  0.822
S  0.874  0.500  0.178

---

# 12
A plane-wave DFT calculation with PBE-GGA was carried out for HfPbS after structural relaxation.

Results
For the formation energy (no corrections), the calculation gives -0.609 eV/atom.

Cell: 3.464 5.748 7.899 Å, 72.08 77.48 89.92°
Sites, in units of the cell vectors:
Hf  0.240  0.229  0.023
Hf  0.760  0.771  0.977
Pb  0.065  0.770  0.356
Pb  0.935  0.230  0.644
S  0.355  0.640  0.785
S  0.645  0.360  0.215